Run w
VASP calculation (GGA-PBE) on an optimized crystal structure of PuTiGa2.

Results
Symmetry: R-3m, No. 166

Cell: 9.9565 9.9565 9.9565 Å, 16.99 16.99 16.99°
Sites, in units of the cell vectors:
Pu 0.0000 0.0000 0.0000
Ti 0.5000 0.5000 0.5000
Ga 0.2431 0.2431 0.2431
Ga 0.7569 0.7569 0.7569



Run x
VASP calculation (GGA-PBE) on an optimized crystal structure of PuTiGa2.

Results
Symmetry: Fm-3m, No. 225

Cell: 4.7734 4.7734 4.7734 Å, 60.00 60.00 60.00°
Sites, in units of the cell vectors:
Pu 0.0000 0.0000 0.0000
Ti 0.5000 0.5000 0.5000
Ga 0.2500 0.2500 0.2500
Ga 0.7500 0.7500 0.7500



What is the stability order? It is run x, run w, from most stable to least stable.



Run w
VASP calculation (GGA-PBE) on an optimized crystal structure of PuTiGa2.

Results
Symmetry: P4/mmm, No. 123

Cell: 4.2611 4.2611 4.2757 Å, 90.00 90.00 90.00°
Sites, in units of the cell vectors:
Pu 0.0000 0.0000 0.0000
Ti 0.5000 0.5000 0.0000
Ga 0.0000 0.5000 0.5000
Ga 0.5000 0.0000 0.5000



Run x
VASP calculation (GGA-PBE) on an optimized crystal structure of PuTiGa2.

Results
Symmetry: P4/mmm, No. 123

Cell: 2.9503 2.9503 8.3863 Å, 90.00 90.00 90.00°
Sites, in units of the cell vectors:
Pu 0.0000 0.0000 0.0000
Ti 0.0000 0.0000 0.5000
Ga 0.5000 0.5000 0.2764
Ga 0.5000 0.5000 0.7236



What is the stability order? It is run x, run w, from most stable to least stable.



Run w
VASP calculation (GGA-PBE) on an optimized crystal structure of Pu2TiGa.

Results
Symmetry: P4/mmm, No. 123

Cell: 3.8493 3.8493 5.8647 Å, 90.00 90.00 90.00°
Sites, in units of the cell vectors:
Pu 0.0000 0.0000 0.2434
Pu 0.0000 0.0000 0.7566
Ti 0.5000 0.5000 0.5000
Ga 0.5000 0.5000 0.0000



Run x
VASP calculation (GGA-PBE) on an optimized crystal structure of Pu2TiGa.

Results
Symmetry: Fm-3m, No. 225

Cell: 5.0060 5.0060 5.0060 Å, 60.00 60.00 60.00°
Sites, in units of the cell vectors:
Pu 0.2500 0.2500 0.2500
Pu 0.7500 0.7500 0.7500
Ti 0.0000 0.0000 0.0000
Ga 0.5000 0.5000 0.5000



Run y
VASP calculation (GGA-PBE) on an optimized crystal structure of Pu2TiGa.

Results
Symmetry: P4/mmm, No. 123

Cell: 4.1697 4.1697 4.6237 Å, 90.00 90.00 90.00°
Sites, in units of the cell vectors:
Pu 0.0000 0.5000 0.0000
Pu 0.5000 0.0000 0.0000
Ti 0.0000 0.0000 0.5000
Ga 0.5000 0.5000 0.5000



What is the stability order? It is run y, run w, run x, from most stable to least stable.